[1]
! MgCoPAu2 (PBE, optimized geometry); values from VASP
! ΔE_f	0.099	eV per atom
&SYSTEM
  ibrav = 0, nat = 5, ntyp = 4
/
ATOMIC_SPECIES
Co 58.93 Co.upf
Mg 24.30 Mg.upf
Au 196.97 Au.upf
P 30.97 P.upf
ATOMIC_POSITIONS angstrom
Co 0.0000 2.0811 0.0000
Mg 2.3786 2.0811 2.3786
Au 0.0000 0.0000 2.3786
Au 2.3786 0.0000 0.0000
P 0.0000 0.0000 0.0000
CELL_PARAMETERS angstrom
4.7572 0.0000 0.0000
0.0000 4.1622 0.0000
0.0000 0.0000 4.7572

[2]
! MgCoAuS2 (PBE, optimized geometry); values from VASP
! uncorrected formation energy	0.06	eV per atom
&SYSTEM
  ibrav = 0, nat = 5, ntyp = 4
/
ATOMIC_SPECIES
Co 58.93 Co.upf
S 32.06 S.upf
Au 196.97 Au.upf
Mg 24.30 Mg.upf
ATOMIC_POSITIONS angstrom
Co 0.0000 0.0000 0.0000
S -0.6801 2.0788 0.0464
S -0.0443 0.0343 -2.1870
Au -2.3328 -0.7640 0.0353
Mg -3.0572 1.3491 -2.1054
CELL_PARAMETERS angstrom
-0.0886 0.0687 -4.3741
-4.6656 -1.5280 0.0705
-1.3603 4.1576 0.0928

[3]
! MgScCoAu (PBE, optimized geometry); values from VASP
! ΔE_f	-0.376	eV per atom
&SYSTEM
  ibrav = 0, nat = 4, ntyp = 4
/
ATOMIC_SPECIES
Sc 44.96 Sc.upf
Co 58.93 Co.upf
Mg 24.30 Mg.upf
Au 196.97 Au.upf
ATOMIC_POSITIONS angstrom
Sc 2.2840 1.3186 0.9324
Co 4.5679 2.6373 1.8648
Mg 6.8519 3.9559 2.7973
Au 0.0000 0.0000 0.0000
CELL_PARAMETERS angstrom
4.5679 0.0000 0.0000
2.2840 3.9559 0.0000
2.2840 1.3186 3.7297

[4]
! MgTiCoAu (PBE, optimized geometry); values from VASP
! ΔE_f	-0.244	eV per atom
&SYSTEM
  ibrav = 0, nat = 4, ntyp = 4
/
ATOMIC_SPECIES
Co 58.93 Co.upf
Mg 24.30 Mg.upf
Au 196.97 Au.upf
Ti 47.87 Ti.upf
ATOMIC_POSITIONS angstrom
Co 0.0000 0.0000 0.0000
Mg 6.6650 3.8480 2.7210
Au 4.4433 2.5653 1.8140
Ti 2.2217 1.2827 0.9070
CELL_PARAMETERS angstrom
4.4433 0.0000 0.0000
2.2217 3.8480 0.0000
2.2217 1.2827 3.6279

[5]
! YMgCoAu (PBE, optimized geometry); values from VASP
! ΔE_f	-0.308	eV per atom
&SYSTEM
  ibrav = 0, nat = 4, ntyp = 4
/
ATOMIC_SPECIES
Y 88.91 Y.upf
Co 58.93 Co.upf
Mg 24.30 Mg.upf
Au 196.97 Au.upf
ATOMIC_POSITIONS angstrom
Y 4.7601 2.7483 1.9433
Co 2.3801 1.3741 0.9717
Mg 0.0000 0.0000 0.0000
Au 7.1402 4.1224 2.9150
CELL_PARAMETERS angstrom
4.7601 0.0000 0.0000
2.3801 4.1224 0.0000
2.3801 1.3741 3.8866

[6]
! MgZnCoAu (PBE, optimized geometry); values from VASP
! ΔE_f	-0.119	eV per atom
&SYSTEM
  ibrav = 0, nat = 4, ntyp = 4
/
ATOMIC_SPECIES
Co 58.93 Co.upf
Zn 65.41 Zn.upf
Au 196.97 Au.upf
Mg 24.30 Mg.upf
ATOMIC_POSITIONS angstrom
Co 6.5817 3.8000 2.6870
Zn 0.0000 0.0000 0.0000
Au 2.1939 1.2667 0.8957
Mg 4.3878 2.5333 1.7913
CELL_PARAMETERS angstrom
4.3878 0.0000 0.0000
2.1939 3.8000 0.0000
2.1939 1.2667 3.5826

[7]
! MnCoAu3 (PBE, optimized geometry); values from VASP
! ΔE_f	0.818	eV per atom
&SYSTEM
  ibrav = 0, nat = 5, ntyp = 3
/
ATOMIC_SPECIES
Co 58.93 Co.upf
Mn 54.94 Mn.upf
Au 196.97 Au.upf
ATOMIC_POSITIONS angstrom
Co 0.0000 0.0000 0.0000
Mn 0.3912 1.2267 3.9148
Au 1.3156 -1.0898 1.6561
Au 0.8613 2.1044 0.7006
Au -1.7857 0.2121 1.5581
CELL_PARAMETERS angstrom
-3.5713 0.4242 3.1162
2.6312 -2.1796 3.3123
1.7226 4.2088 1.4012

[8]
! MnCoAu (PBE, optimized geometry); values from VASP
! ΔE_f	0.466	eV per atom
&SYSTEM
  ibrav = 0, nat = 3, ntyp = 3
/
ATOMIC_SPECIES
Au 196.97 Au.upf
Co 58.93 Co.upf
Mn 54.94 Mn.upf
ATOMIC_POSITIONS angstrom
Au 4.1189 2.3781 1.6815
Co 6.1784 3.5671 2.5223
Mn 0.0000 0.0000 0.0000
CELL_PARAMETERS angstrom
4.1189 0.0000 0.0000
2.0595 3.5671 0.0000
2.0595 1.1890 3.3631

[9]
! MnCo3Au (PBE, optimized geometry); values from VASP
! ΔE_f	1.559	eV per atom
&SYSTEM
  ibrav = 0, nat = 5, ntyp = 3
/
ATOMIC_SPECIES
Co 58.93 Co.upf
Mn 54.94 Mn.upf
Au 196.97 Au.upf
ATOMIC_POSITIONS angstrom
Co -0.8461 -2.1260 0.4328
Co 0.2995 0.3456 2.2834
Co -2.1488 0.8853 0.1478
Mn -2.6954 -0.8951 2.8640
Au 0.0000 0.0000 0.0000
CELL_PARAMETERS angstrom
-4.2977 1.7706 0.2957
-1.6922 -4.2520 0.8655
0.5990 0.6912 4.5668

[10]
! MnCoAu3 (PBE, optimized geometry); values from VASP
! ΔE_f	1.458	eV per atom
&SYSTEM
  ibrav = 0, nat = 5, ntyp = 3
/
ATOMIC_SPECIES
Co 58.93 Co.upf
Mn 54.94 Mn.upf
Au 196.97 Au.upf
ATOMIC_POSITIONS angstrom
Co 2.3239 0.0047 3.3879
Mn 0.0000 0.0000 0.0000
Au 2.3620 -0.2127 0.0407
Au 0.1329 1.7756 1.5670
Au -0.1710 -1.5582 1.7801
CELL_PARAMETERS angstrom
-0.3420 -3.1164 3.5602
4.7240 -0.4254 0.0815
0.2657 3.5512 3.1340

[11]
! MnCo3Au (PBE, optimized geometry); values from VASP
! ΔE_f	1.110	eV per atom
&SYSTEM
  ibrav = 0, nat = 5, ntyp = 3
/
ATOMIC_SPECIES
Co 58.93 Co.upf
Mn 54.94 Mn.upf
Au 196.97 Au.upf
ATOMIC_POSITIONS angstrom
Co 0.9123 -1.8735 0.0064
Co 1.8654 0.9090 0.1907
Co -0.1742 -0.0777 2.0751
Mn 0.0000 0.0000 0.0000
Au 2.6035 -1.0421 2.2722
CELL_PARAMETERS angstrom
-0.3485 -0.1554 4.1501
1.8247 -3.7469 0.0129
3.7307 1.8181 0.3813

[12]
! MnCoAu (PBE, optimized geometry); values from VASP
! ΔE_f	0.218	eV per atom
&SYSTEM
  ibrav = 0, nat = 3, ntyp = 3
/
ATOMIC_SPECIES
Au 196.97 Au.upf
Co 58.93 Co.upf
Mn 54.94 Mn.upf
ATOMIC_POSITIONS angstrom
Au 0.0000 0.0000 0.0187
Co 0.0000 1.6319 2.2529
Mn 1.4133 0.8159 4.0622
CELL_PARAMETERS angstrom
2.8265 0.0000 0.0000
-1.4133 2.4478 0.0000
0.0000 0.0000 6.3337

[13]
! MnCoAu (PBE, optimized geometry); values from VASP
! ΔE_f	0.235	eV per atom
&SYSTEM
  ibrav = 0, nat = 12, ntyp = 3
/
ATOMIC_SPECIES
Mn 54.94 Mn.upf
Co 58.93 Co.upf
Au 196.97 Au.upf
ATOMIC_POSITIONS angstrom
Mn 2.1742 9.2776 2.8483
Mn 2.1742 6.2984 5.8497
Mn 0.7247 4.0856 0.1531
Mn 0.7247 1.1064 3.1545
Co 0.7247 10.0544 0.9801
Co 0.7247 5.5215 3.9815
Co 2.1742 4.8625 2.0212
Co 2.1742 0.3295 5.0226
Au 0.7247 7.2088 1.9450
Au 0.7247 8.3672 4.9464
Au 2.1742 2.0168 1.0564
Au 2.1742 3.1752 4.0578
CELL_PARAMETERS angstrom
2.8990 0.0000 0.0000
0.0000 10.3840 0.0000
0.0000 0.0000 6.0028

[14]
! MnCoAu (PBE, optimized geometry); values from VASP
! ΔE_f	0.130	eV per atom
&SYSTEM
  ibrav = 0, nat = 3, ntyp = 3
/
ATOMIC_SPECIES
Au 196.97 Au.upf
Co 58.93 Co.upf
Mn 54.94 Mn.upf
ATOMIC_POSITIONS angstrom
Au 8.1405 4.1704 0.0000
Co 2.5842 1.3239 0.0000
Mn 5.5693 2.8532 0.0000
CELL_PARAMETERS angstrom
5.0505 0.1799 -0.2640
3.0965 3.9939 0.2640
-3.9546 -2.3190 2.1431

[15]
! Mn2CoAuN (PBE, optimized geometry); values from VASP
! uncorrected formation energy	0.05	eV per atom
&SYSTEM
  ibrav = 0, nat = 5, ntyp = 4
/
ATOMIC_SPECIES
Co 58.93 Co.upf
Mn 54.94 Mn.upf
Au 196.97 Au.upf
N 14.01 N.upf
ATOMIC_POSITIONS angstrom
Co 0.0000 0.0000 1.9303
Mn 0.0000 1.9023 0.0000
Mn 1.9023 0.0000 0.0000
Au 1.9023 1.9023 1.9303
N 0.0000 0.0000 0.0000
CELL_PARAMETERS angstrom
3.8045 0.0000 0.0000
0.0000 3.8045 0.0000
0.0000 0.0000 3.8605

[16]
! PaMnCoAu (PBE, optimized geometry); values from VASP
! ΔE_f	-0.040	eV per atom
&SYSTEM
  ibrav = 0, nat = 4, ntyp = 4
/
ATOMIC_SPECIES
Co 58.93 Co.upf
Pa 231.04 Pa.upf
Au 196.97 Au.upf
Mn 54.94 Mn.upf
ATOMIC_POSITIONS angstrom
Co 0.0000 0.0000 0.0000
Pa -0.1555 -4.1971 -7.2157
Au -0.0518 -1.3990 -2.4052
Mn -0.1037 -2.7981 -4.8105
CELL_PARAMETERS angstrom
-0.0631 0.4027 -4.5263
2.1998 -3.0251 -2.5813
-2.3440 -2.9736 -2.5134

[17]
! MnCoPd2Au (PBE, optimized geometry); values from VASP
! ΔE_f	0.904	eV per atom
&SYSTEM
  ibrav = 0, nat = 5, ntyp = 4
/
ATOMIC_SPECIES
Co 58.93 Co.upf
Mn 54.94 Mn.upf
Au 196.97 Au.upf
Pd 106.42 Pd.upf
ATOMIC_POSITIONS angstrom
Co 2.0003 0.2703 0.3251
Mn 0.0000 0.0000 0.0000
Au 1.3421 1.6767 3.2051
Pd -0.4077 2.1644 0.7085
Pd -0.2505 -0.7580 2.1715
CELL_PARAMETERS angstrom
-0.5011 -1.5160 4.3430
4.0006 0.5407 0.6503
-0.8153 4.3288 1.4169

[18]
! MnCoRe2Au (PBE, optimized geometry); values from VASP
! ΔE_f	1.846	eV per atom
&SYSTEM
  ibrav = 0, nat = 5, ntyp = 4
/
ATOMIC_SPECIES
Re 186.21 Re.upf
Mn 54.94 Mn.upf
Au 196.97 Au.upf
Co 58.93 Co.upf
ATOMIC_POSITIONS angstrom
Re 0.0000 0.0000 2.1710
Re 2.1710 0.0000 0.0000
Mn 2.1710 2.3014 2.1710
Au 0.0000 2.3014 0.0000
Co 0.0000 0.0000 0.0000
CELL_PARAMETERS angstrom
4.3420 0.0000 0.0000
0.0000 4.6029 0.0000
0.0000 0.0000 4.3420

[19]
! MnCoRh2Au (PBE, optimized geometry); values from VASP
! ΔE_f	1.585	eV per atom
&SYSTEM
  ibrav = 0, nat = 5, ntyp = 4
/
ATOMIC_SPECIES
Rh 102.91 Rh.upf
Mn 54.94 Mn.upf
Au 196.97 Au.upf
Co 58.93 Co.upf
ATOMIC_POSITIONS angstrom
Rh 0.0000 0.0000 2.4572
Rh 2.4572 0.0000 0.0000
Mn 2.4572 2.2719 2.4572
Au 0.0000 0.0000 0.0000
Co 0.0000 2.2719 0.0000
CELL_PARAMETERS angstrom
4.9144 0.0000 0.0000
0.0000 4.5439 0.0000
0.0000 0.0000 4.9144

[20]
! MnCoAu2S (PBE, optimized geometry); values from VASP
! uncorrected formation energy	0.82	eV per atom
&SYSTEM
  ibrav = 0, nat = 5, ntyp = 4
/
ATOMIC_SPECIES
Co 58.93 Co.upf
S 32.06 S.upf
Mn 54.94 Mn.upf
Au 196.97 Au.upf
ATOMIC_POSITIONS angstrom
Co 2.4778 2.0554 2.4778
S 0.0000 2.0554 0.0000
Mn 0.0000 0.0000 0.0000
Au 0.0000 0.0000 2.4778
Au 2.4778 0.0000 0.0000
CELL_PARAMETERS angstrom
4.9556 0.0000 0.0000
0.0000 4.1108 0.0000
0.0000 0.0000 4.9556